Material: CoAsRu
Method: DFT, GGA-PBE
State: optimized geometry

a = 3.6743 Å, b = 3.6743 Å, c = 5.9579 Å
α = 90.00°, β = 90.00°, γ = 90.00°
Fractional coordinates of all 6 atoms:
Co (0.2500, 0.7500, 0.0000)
Co (0.7500, 0.2500, 0.0000)
As (0.2500, 0.2500, 0.2482)
As (0.7500, 0.7500, 0.7518)
Ru (0.2500, 0.2500, 0.6489)
Ru (0.7500, 0.7500, 0.3511)


Material: Co2AsRu
Method: DFT, GGA-PBE
State: optimized geometry

a = 3.7509 Å, b = 5.0785 Å, c = 5.0785 Å
α = 31.86°, β = 90.00°, γ = 90.00°
Fractional coordinates of all 4 atoms:
Co (0.0000, 0.0000, 0.0000)
Co (0.5000, 0.3935, 0.3935)
As (0.0000, 0.2535, 0.2535)
Ru (0.5000, 0.6493, 0.6493)


Material: Co2AsRu
Method: DFT, GGA-PBE
State: optimized geometry

a = 4.9384 Å, b = 4.9384 Å, c = 2.7828 Å
α = 103.31°, β = 103.31°, γ = 119.55°
Fractional coordinates of all 4 atoms:
Co (0.0000, 0.5000, 0.0000)
Co (0.5000, 0.0000, 0.0000)
As (0.0000, 0.0000, 0.5000)
Ru (0.5000, 0.5000, 0.5000)


Number 1: density 9.7 g/cm³, energy relative to the elements -0.1053 eV per atom. Number 2: density 9.6 g/cm³, energy relative to the elements 0.0910 eV per atom. Number 3: density 9.3 g/cm³, energy relative to the elements 0.2569 eV per atom.